UZn2I8 (GGA-PBE, optimized geometry); magnetic moment = 2.000 μB per cell; total energy = -0.111 hartree per atom; symmetry = No. 12
1.0
5.876 -6.212 0.000
5.876 6.212 0.000
-2.944 0.000 8.556
U Zn I
1 2 8
Direct
0.000 0.000 0.000
0.189 0.189 0.360
0.811 0.811 0.640
0.139 0.808 0.747
0.192 0.861 0.253
0.273 0.273 0.110
0.326 0.326 0.632
0.674 0.674 0.368
0.727 0.727 0.890
0.808 0.139 0.747
0.861 0.192 0.253